An optimized crystal structure of LaHoMgGa. Source: Alexandria via LeMat-Bulk, functional PBE.

Unit cell a=5.303 b=5.303 c=5.303 alpha=60.00 beta=60.00 gamma=60.00
Fractional positions:
Ho: 0.000 0.000 0.000
Mg: 0.750 0.750 0.750
Ga: 0.250 0.250 0.250
La: 0.500 0.500 0.500

Output
The value obtained for the density is 6.26 g/cm3. The symmetry is F-43m (216). The density of states at the Fermi level is 3.4 states/eV/cell. The calculation puts the electronic total energy at -15.45 eV/f.u.